(1)
NiPb2Br | Alexandria via LeMat-Bulk | GGA-PBE | relaxed; energy above the most stable polymorph in this dataset = 0.075 eV/atom; calculated density = 9.0 g/cm³; calculated volume = 102.0 Å³ per cell; uncorrected formation energy = -0.0170 eV per atom; total energy = -3.7348 eV/atom; D(E_F) = 1.1 states/eV/f.u.
1.0
5.511 -1.754 0.000
5.511 1.754 0.000
-2.873 0.000 5.274
Ni Pb Br
1 2 1
Direct
0.000 0.000 0.000
0.562 0.562 0.371
0.720 0.720 0.992
0.375 0.375 0.666


(2)
GdErHgPt | Alexandria via LeMat-Bulk | GGA-PBE | relaxed; calculated density = 12.8 g/cm³; calculated volume = 93.6 Å³ per cell; total energy = -7.0562 eV/atom; D(E_F) = 2.6 states/eV/f.u.; energy of formation from the pure elements = -0.81 eV per atom
1.0
0.000 3.603 3.603
3.603 0.000 3.603
3.603 3.603 0.000
Gd Er Hg Pt
1 1 1 1
Direct
0.000 0.000 0.000
0.500 0.500 0.500
0.250 0.250 0.250
0.750 0.750 0.750


(3)
Ho2CdTe | Alexandria via LeMat-Bulk | GGA-PBE | relaxed; energy above the most stable polymorph in this dataset = 0.000 eV/atom; calculated density = 8.2 g/cm³; calculated volume = 115.6 Å³ per cell; uncorrected formation energy = -0.6659 eV per atom; total energy = -3.9690 eV/atom; D(E_F) = 3.8 states/eV/f.u.
1.0
1.995 1.152 8.390
-1.995 1.152 8.390
0.000 -2.303 8.390
Ho Cd Te
2 1 1
Direct
0.000 0.000 0.000
0.165 0.165 0.165
0.583 0.583 0.583
0.415 0.415 0.415


(4)
Pu2HfPa5 | Alexandria via LeMat-Bulk | GGA-PBE | relaxed; calculated density = 15.6 g/cm³; calculated volume = 387.1 Å³ per cell; total energy = -10.7084 eV/atom; D(E_F) = 14.9 states/eV/f.u.; energy of formation from the pure elements = 0.05 eV per atom
1.0
6.585 0.000 0.000
0.000 13.132 0.000
0.000 0.000 4.476
Pu Hf Pa
4 2 10
Direct
0.243 0.122 0.000
0.257 0.622 0.000
0.743 0.378 0.000
0.757 0.878 0.000
0.000 0.000 0.500
0.500 0.500 0.500
0.000 0.500 0.500
0.001 0.749 0.500
0.247 0.876 0.000
0.253 0.376 0.000
0.499 0.249 0.500
0.500 0.000 0.500
0.501 0.751 0.500
0.747 0.624 0.000
0.753 0.124 0.000
0.999 0.251 0.500


(5)
BaAc2Tl | Alexandria via LeMat-Bulk | GGA-PBE | relaxed; energy above the most stable polymorph in this dataset = 0.158 eV/atom; calculated density = 8.2 g/cm³; calculated volume = 161.7 Å³ per cell; total energy = -3.0748 eV/atom; D(E_F) = 7.4 states/eV/f.u.; energy of formation from the pure elements = 0.05 eV per atom
1.0
0.000 4.324 4.324
4.324 0.000 4.324
4.324 4.324 0.000
Ba Ac Tl
1 2 1
Direct
0.000 0.000 0.000
0.250 0.250 0.250
0.750 0.750 0.750
0.500 0.500 0.500


(6)
La2TiBiW | Alexandria via LeMat-Bulk | GGA-PBE | relaxed; calculated density = 6.5 g/cm³; calculated volume = 182.5 Å³ per cell; total energy = -5.4744 eV/atom; D(E_F) = 15.2 states/eV/f.u.; energy of formation from the pure elements = 1.44 eV per atom
1.0
5.993 0.000 0.000
0.000 5.993 0.000
0.000 0.000 5.081
La Ti Bi W
2 1 1 1
Direct
0.000 0.500 0.000
0.500 0.000 0.000
0.000 0.000 0.500
0.500 0.500 0.000
0.500 0.500 0.500